Sr3B2PdPt6 | PBE | optimized geometry

Results
M_tot in μB per formula unit: 0.01
Symmetry: No. 166
Total energy in eV/atom: -5.7549

abc: 8.4304 8.4304 8.4304
angles: 39.04 39.04 39.04
Fractional coordinates of all 12 atoms:
Sr (0.0000, 0.0000, 0.0000)
Sr (0.1437, 0.1437, 0.1437)
Sr (0.8563, 0.8563, 0.8563)
B (0.3314, 0.3314, 0.3314)
B (0.6686, 0.6686, 0.6686)
Pd (0.5000, 0.5000, 0.5000)
Pt (0.0666, 0.5634, 0.5634)
Pt (0.4366, 0.4366, 0.9334)
Pt (0.4366, 0.9334, 0.4366)
Pt (0.5634, 0.0666, 0.5634)
Pt (0.5634, 0.5634, 0.0666)
Pt (0.9334, 0.4366, 0.4366)

CsGaAu | PBE | optimized geometry

Results
Symmetry: No. 216
Total energy in eV/atom: -2.1915

abc: 5.4105 5.4105 5.4105
angles: 60.00 60.00 60.00
Fractional coordinates of all 3 atoms:
Cs (0.0000, 0.0000, 0.0000)
Ga (0.5000, 0.5000, 0.5000)
Au (0.2500, 0.2500, 0.2500)

PrNdAsCl | PBE | optimized geometry

Results
M_tot in μB per formula unit: 0.01
Symmetry: No. 164
Total energy in eV/atom: -5.5338

abc: 4.1838 4.1838 14.4478
angles: 90.00 90.00 120.00
Fractional coordinates of all 8 atoms:
Pr (0.3333, 0.6667, 0.3891)
Pr (0.6667, 0.3333, 0.6109)
Nd (0.3333, 0.6667, 0.1086)
Nd (0.6667, 0.3333, 0.8914)
As (0.0000, 0.0000, 0.0000)
As (0.0000, 0.0000, 0.5000)
Cl (0.3333, 0.6667, 0.7529)
Cl (0.6667, 0.3333, 0.2471)

Er3Lu4Ni2Se2 | PBE | optimized geometry

Results
M_tot in μB per formula unit: 0.01
Symmetry: No. 44
Total energy in eV/atom: -5.3615

abc: 8.9187 8.9187 8.9187
angles: 155.75 67.70 117.89
Fractional coordinates of all 11 atoms:
Er (0.0000, 0.0000, 0.0000)
Er (0.2862, 0.4119, 0.8743)
Er (0.5376, 0.4119, 0.1257)
Lu (0.3029, 0.6171, 0.6858)
Lu (0.6206, 0.2607, 0.3600)
Lu (0.9007, 0.2607, 0.6400)
Lu (0.9313, 0.6171, 0.3142)
Ni (0.1585, 0.9212, 0.2373)
Ni (0.6839, 0.9212, 0.7627)
Se (0.2548, 0.7548, 0.5000)
Se (0.6612, 0.6612, 0.0000)

TaCuAgGe | PBE | optimized geometry

Results
M_tot in μB per formula unit: 0.02
Symmetry: No. 216
Total energy in eV/atom: -5.4225

abc: 4.5044 4.5044 4.5044
angles: 60.00 60.00 60.00
Fractional coordinates of all 4 atoms:
Ta (0.0000, 0.0000, 0.0000)
Cu (0.5000, 0.5000, 0.5000)
Ag (0.7500, 0.7500, 0.7500)
Ge (0.2500, 0.2500, 0.2500)

Rb2ZrReS6 | PBE | optimized geometry

Results
M_tot in μB per formula unit: 0.04
Symmetry: No. 1
Total energy in eV/atom: -5.5472

abc: 6.9177 6.9297 9.7967
angles: 89.95 89.99 90.00
Fractional coordinates of all 20 atoms:
Rb (0.0000, 0.0000, 0.0000)
Rb (0.9998, 0.0001, 0.5002)
Rb (0.4998, 0.4994, 0.9998)
Rb (0.4996, 0.4999, 0.5006)
Zr (0.9996, 0.4988, 0.7501)
Zr (0.5001, 0.0005, 0.2500)
Re (0.0001, 0.5007, 0.2501)
Re (0.4996, 0.9987, 0.7501)
S (0.0020, 0.5015, 0.4914)
S (0.2303, 0.2485, 0.2495)
S (0.2525, 0.7303, 0.2484)
S (0.2525, 0.7639, 0.7518)
S (0.2638, 0.2456, 0.7510)
S (0.4975, 0.9989, 0.5088)
S (0.5022, 0.9998, 0.9914)
S (0.7356, 0.7528, 0.7493)
S (0.7465, 0.2348, 0.7486)
S (0.7474, 0.2706, 0.2519)
S (0.7697, 0.7522, 0.2506)
S (0.9977, 0.4996, 0.0089)

Na2CdCoH6 | PBE | optimized geometry

Results
M_tot in μB per formula unit: 0.00
Symmetry: No. 225
Total energy in eV/atom: -3.1709

abc: 5.1320 5.1320 5.1320
angles: 60.00 60.00 60.00
Fractional coordinates of all 10 atoms:
Na (0.2500, 0.2500, 0.2500)
Na (0.7500, 0.7500, 0.7500)
Cd (0.0000, 0.0000, 0.0000)
Co (0.5000, 0.5000, 0.5000)
H (0.2816, 0.2816, 0.7184)
H (0.2816, 0.7184, 0.2816)
H (0.2816, 0.7184, 0.7184)
H (0.7184, 0.2816, 0.2816)
H (0.7184, 0.2816, 0.7184)
H (0.7184, 0.7184, 0.2816)

AgPPb | PBE | optimized geometry

Results
Symmetry: No. 129
Total energy in eV/atom: -3.8665

abc: 4.1752 4.1752 7.7010
angles: 90.00 90.00 90.00
Fractional coordinates of all 6 atoms:
Ag (0.2500, 0.7500, 0.0000)
Ag (0.7500, 0.2500, 0.0000)
P (0.2500, 0.2500, 0.2338)
P (0.7500, 0.7500, 0.7662)
Pb (0.2500, 0.2500, 0.6593)
Pb (0.7500, 0.7500, 0.3407)

Gd2Au | PBE | optimized geometry

Results
M_tot in μB per formula unit: 0.01
Symmetry: No. 227
Total energy in eV/atom: -3.9158

abc: 6.0718 6.0718 6.0718
angles: 60.00 60.00 60.00
Fractional coordinates of all 6 atoms:
Gd (0.0000, 0.0000, 0.0000)
Gd (0.0000, 0.0000, 0.5000)
Gd (0.0000, 0.5000, 0.0000)
Gd (0.5000, 0.0000, 0.0000)
Au (0.3750, 0.3750, 0.3750)
Au (0.6250, 0.6250, 0.6250)

GdErCS | PBE | optimized geometry

Results
M_tot in μB per formula unit: 0.00
Symmetry: No. 187
Total energy in eV/atom: -6.8875

abc: 3.7079 3.7079 12.9233
angles: 90.00 90.00 120.00
Fractional coordinates of all 8 atoms:
Gd (0.0000, 0.0000, 0.1478)
Gd (0.0000, 0.0000, 0.8522)
Er (0.3333, 0.6667, 0.3563)
Er (0.3333, 0.6667, 0.6437)
C (0.6667, 0.3333, 0.2545)
C (0.6667, 0.3333, 0.7455)
S (0.0000, 0.0000, 0.5000)
S (0.3333, 0.6667, 0.0000)

ZrTa2Pd | PBE | optimized geometry

Results
M_tot in μB per formula unit: 0.00
Symmetry: No. 216
Total energy in eV/atom: -9.4772

abc: 4.6821 4.6821 4.6821
angles: 60.00 60.00 60.00
Fractional coordinates of all 4 atoms:
Zr (0.0000, 0.0000, 0.0000)
Ta (0.2500, 0.2500, 0.2500)
Ta (0.5000, 0.5000, 0.5000)
Pd (0.7500, 0.7500, 0.7500)

Si2Mo4CN | PBE | optimized geometry

Results
M_tot in μB per formula unit: 0.00
Symmetry: No. 164
Total energy in eV/atom: -9.0757

abc: 3.0409 3.0409 12.7227
angles: 90.00 90.00 120.00
Fractional coordinates of all 8 atoms:
Si (0.3333, 0.6667, 0.2508)
Si (0.6667, 0.3333, 0.7492)
Mo (0.3333, 0.6667, 0.5949)
Mo (0.3333, 0.6667, 0.9000)
Mo (0.6667, 0.3333, 0.1000)
Mo (0.6667, 0.3333, 0.4051)
C (0.0000, 0.0000, 0.5000)
N (0.0000, 0.0000, 0.0000)

Q: Among the records above, which one has the lowest total energy?
A: ZrTa2Pd

Q: What is the total energy in the twelfth record?
A: -9.0757 eV/atom

Q: Number 12 is which compound?
A: Si2Mo4CN